Below is a geometry-optimized KP2Br structure, with properties calculated at the PBE level.

Values from the calculation:
Uncorrected formation energy = -0.29 eV per atom
Calculated total energy = -3.688 eV per atom
E above lowest polymorph = 153.9 meV/atom

abc: 5.1083 5.1083 6.0525
angles: 90.00 90.00 90.00
Last column: nearest neighbours and their distance in Å.
Space group P4/mmm (No. 123)
Unique sites:
K 0.0000 0.0000 0.0000  2 Br 3.03
P 0.5000 0.5000 0.1592  1 P 1.93
Br 0.0000 0.0000 0.5000  2 K 3.03

Below is a geometry-optimized KPBr2 structure, with properties calculated at the PBE level.

Values from the calculation:
Uncorrected formation energy = -0.38 eV per atom
Calculated total energy = -2.847 eV per atom
E above lowest polymorph = 84.9 meV/atom

abc: 7.6743 5.3859 6.4096
angles: 90.00 110.60 90.00
Last column: nearest neighbours and their distance in Å.
Space group C2/m (No. 12)
Unique sites:
K 0.0000 0.0000 0.0000  6 Br 3.31-3.37
P 0.0000 0.5000 0.5000  2 Br 2.49
Br 0.2186 0.5000 0.2912  1 P 2.49

Below is a geometry-optimized KPBr4 structure, with properties calculated at the PBE level.

Values from the calculation:
Uncorrected formation energy = -0.77 eV per atom
Calculated total energy = -2.966 eV per atom
E above lowest polymorph = 0.0 meV/atom

abc: 7.8764 11.3642 11.9758
angles: 90.00 119.87 90.00
Last column: nearest neighbours and their distance in Å.
Space group P2_1/c (No. 14)
Unique sites:
K 0.2280 0.0327 0.2429  7 Br 3.28-3.67
P 0.3959 0.6748 0.4314  3 Br 2.27-2.48
Br 0.1114 0.7166 0.8783  1 P 2.35
Br 0.2318 0.0268 0.9645  2 P 2.75-3.06
Br 0.3167 0.6269 0.2268  1 P 2.27
Br 0.4029 0.1504 0.5503  1 P 2.48

Below is a geometry-optimized KP3Br structure, with properties calculated at the PBE level.

Values from the calculation:
Uncorrected formation energy = 1.78 eV per atom
Calculated total energy = -2.020 eV per atom
E above lowest polymorph = 729.4 meV/atom

abc: 6.5291 6.5291 6.5291
angles: 90.00 90.00 90.00
Last column: nearest neighbours and their distance in Å.
Space group Pm-3m (No. 221)
Unique sites:
K 0.0000 0.0000 0.0000  6 P 3.26
P 0.0000 0.0000 0.5000  2 K 3.26
Br 0.5000 0.5000 0.5000  12 P 4.62

Below is a geometry-optimized KP2Br structure, with properties calculated at the PBE level.

Values from the calculation:
Uncorrected formation energy = 0.40 eV per atom
Calculated total energy = -2.999 eV per atom
E above lowest polymorph = 842.6 meV/atom

abc: 5.0887 5.0887 7.1556
angles: 90.00 90.00 90.00
Last column: nearest neighbours and their distance in Å.
Space group I-4m2 (No. 119)
Unique sites:
K 0.0000 0.0000 0.0000  4 Br 3.11, 4 P 3.11
P 0.0000 0.0000 0.5000  4 Br 3.11, 4 P 3.11
P 0.0000 0.5000 0.2500  4 K 3.11, 4 P 3.11
Br 0.0000 0.5000 0.7500  4 K 3.11, 4 P 3.11

Below is a geometry-optimized KPBr structure, with properties calculated at the PBE level.

Values from the calculation:
Uncorrected formation energy = 0.13 eV per atom
Calculated total energy = -2.598 eV per atom
E above lowest polymorph = 318.4 meV/atom

abc: 7.7693 7.7693 7.7693
angles: 90.00 90.00 90.00
Last column: nearest neighbours and their distance in Å.
Space group F-43m (No. 216)
Unique sites:
K 0.0000 0.0000 0.0000  4 P 3.36
P 0.2500 0.2500 0.7500  4 K 3.36, 4 Br 3.36
Br 0.0000 0.0000 0.5000  4 P 3.36

Below is a geometry-optimized KPBr4 structure, with properties calculated at the PBE level.

Values from the calculation:
Uncorrected formation energy = 0.31 eV per atom
Calculated total energy = -1.894 eV per atom
E above lowest polymorph = 1072.2 meV/atom

abc: 9.1663 9.1663 9.1663
angles: 90.00 90.00 90.00
Last column: nearest neighbours and their distance in Å.
Space group F-43m (No. 216)
Unique sites:
K 0.0000 0.0000 0.0000  12 Br 3.80, 4 P 3.97
P 0.2500 0.2500 0.7500  12 Br 3.80, 4 K 3.97
Br 0.1250 0.1250 0.3750  6 Br 3.24

Below is a geometry-optimized KPBr2 structure, with properties calculated at the PBE level.

Values from the calculation:
Uncorrected formation energy = -0.42 eV per atom
Calculated total energy = -2.879 eV per atom
E above lowest polymorph = 52.4 meV/atom

abc: 5.1608 3.8510 6.6793
angles: 90.00 108.06 90.00
Last column: nearest neighbours and their distance in Å.
Space group P2/m (No. 10)
Unique sites:
K 0.0000 0.0000 0.0000  2 P 3.34, 4 Br 3.46
P 0.0000 0.0000 0.5000  4 Br 2.66
Br 0.3216 0.5000 0.7176  2 P 2.66

Below is a geometry-optimized K2PBr5 structure, with properties calculated at the PBE level.

Values from the calculation:
Uncorrected formation energy = -1.00 eV per atom
Calculated total energy = -2.996 eV per atom

abc: 7.8455 7.8455 9.2112
angles: 90.00 90.00 90.00
Last column: nearest neighbours and their distance in Å.
Space group I4mm (No. 107)
Unique sites:
K 0.0000 0.5000 0.0000  10 Br 3.60-3.92
P 0.0000 0.0000 0.2638  1 Br 2.26
Br 0.0000 0.0000 0.5087  1 P 2.26
Br 0.2340 0.2340 0.2478  1 P 2.60

Below is a geometry-optimized KP2Br structure, with properties calculated at the PBE level.

Values from the calculation:
Uncorrected formation energy = -0.44 eV per atom
Calculated total energy = -3.842 eV per atom
E above lowest polymorph = 0.0 meV/atom

abc: 4.7914 3.3110 8.2887
angles: 90.00 103.32 90.00
Last column: nearest neighbours and their distance in Å.
Space group Pm (No. 6)
Unique sites:
K 0.0000 0.0000 0.0000  4 Br 3.19-3.21, 2 K 3.31, 2 P 3.57
P 0.1978 0.0000 0.5942  2 P 2.15
P 0.4762 0.5000 0.6870  2 P 2.15
Br 0.5637 0.5000 0.1643  4 K 3.19-3.21, 2 Br 3.31

Below is a geometry-optimized KPBr2 structure, with properties calculated at the PBE level.

Values from the calculation:
Uncorrected formation energy = -0.46 eV per atom
Calculated total energy = -2.925 eV per atom
E above lowest polymorph = 6.5 meV/atom

abc: 11.2036 5.1166 4.8967
angles: 90.00 95.22 90.00
Last column: nearest neighbours and their distance in Å.
Space group Cm (No. 8)
Unique sites:
K 0.0000 0.0000 0.0000  2 P 3.36-3.39, 5 Br 3.41-3.75
P 0.2087 0.0000 0.5479  1 Br 2.31
Br 0.2152 0.5000 0.6892  2 P 2.65
Br 0.4075 0.0000 0.4610  1 P 2.31

Below is a geometry-optimized KP2Br structure, with properties calculated at the PBE level.

Values from the calculation:
Uncorrected formation energy = 0.35 eV per atom
Calculated total energy = -3.045 eV per atom
E above lowest polymorph = 797.0 meV/atom

abc: 5.5355 13.3887 2.6717
angles: 90.00 90.00 90.00
Last column: nearest neighbours and their distance in Å.
Space group Cmmm (No. 65)
Unique sites:
K 0.0000 0.0000 0.0000  2 K 2.67, 2 Br 2.77
P 0.2500 0.2500 0.5000  4 P 2.67-2.77
Br 0.0000 0.5000 0.0000  2 Br 2.67, 2 K 2.77

Below is a geometry-optimized KP2Br structure, with properties calculated at the PBE level.

Values from the calculation:
Uncorrected formation energy = -0.40 eV per atom
Calculated total energy = -3.793 eV per atom
E above lowest polymorph = 48.7 meV/atom

abc: 4.5172 6.8199 4.7075
angles: 90.00 90.51 90.00
Last column: nearest neighbours and their distance in Å.
Space group P2/m (No. 10)
Unique sites:
K 0.0000 0.0000 0.0000  4 Br 3.25-3.28
P 0.3833 0.5000 0.8287  1 P 1.92
Br 0.5000 0.0000 0.5000  4 K 3.25-3.28

Below is a geometry-optimized KPBr structure, with properties calculated at the PBE level.

Values from the calculation:
Uncorrected formation energy = 0.28 eV per atom
Calculated total energy = -2.451 eV per atom
E above lowest polymorph = 465.8 meV/atom

abc: 3.8465 3.8465 7.0639
angles: 90.00 90.00 120.00
Last column: nearest neighbours and their distance in Å.
Space group P3m1 (No. 156)
Unique sites:
K 0.0000 0.0000 0.0000  3 Br 3.15, 3 P 3.42
P 0.6667 0.3333 0.3681  3 Br 3.15, 3 K 3.42
Br 0.3333 0.6667 0.6834  3 P 3.15, 3 K 3.15

Below is a geometry-optimized KP2Br structure, with properties calculated at the PBE level.

Values from the calculation:
Uncorrected formation energy = 0.51 eV per atom
Calculated total energy = -2.887 eV per atom
E above lowest polymorph = 954.9 meV/atom

abc: 9.5333 9.5333 5.2958
angles: 90.00 90.00 90.00
Last column: nearest neighbours and their distance in Å.
Space group I-42d (No. 122)
Unique sites:
K 0.0000 0.0000 0.0000  2 Br 2.65
P 0.2328 0.2500 0.6250  2 P 2.67
Br 0.0000 0.0000 0.5000  2 K 2.65